No. 1
Below is a relaxed structure of Zr2BeBi, with properties calculated at the PBE-GGA level.

abc: 7.541 7.541 6.024
angles: 90.00 90.00 90.00
Space group I-42d (No. 122)
Symmetry-distinct sites (fractional):
Zr 0.221 0.250 0.125
Be 0.000 0.000 0.000
Bi 0.000 0.000 0.500

Fermi-level density of states, states/eV/cell: 11.05
Excess energy over the best structure of this formula in the dataset, eV/f.u.: 0.00
ΔE_f, kJ/mol of atoms: 12.34

---

No. 2
Below is a relaxed structure of Zr3BeBi, with properties calculated at the PBE-GGA level.

abc: 6.657 13.837 4.736
angles: 90.00 90.00 90.00
Space group Cmmm (No. 65)
Symmetry-distinct sites (fractional):
Zr 0.000 0.121 0.000
Zr 0.232 0.500 0.500
Zr 0.250 0.250 0.500
Be 0.000 0.122 0.500
Bi 0.000 0.362 0.000

Fermi-level density of states, states/eV/cell: 19.84
Excess energy over the best structure of this formula in the dataset, eV/f.u.: 0.00
ΔE_f, kJ/mol of atoms: -1.44

---

No. 3
Below is a relaxed structure of Zr5Be2Bi, with properties calculated at the PBE-GGA level.

abc: 7.126 7.126 12.731
angles: 90.00 90.00 90.00
Space group I4/mcm (No. 140)
Symmetry-distinct sites (fractional):
Zr 0.000 0.000 0.000
Zr 0.159 0.341 0.132
Be 0.139 0.361 0.500
Bi 0.000 0.000 0.250

Fermi-level density of states, states/eV/cell: 47.61
ΔE_f, kJ/mol of atoms: -14.74

---

No. 4
Below is a relaxed structure of Zr4BeBi2, with properties calculated at the PBE-GGA level.

abc: 3.718 9.069 19.490
angles: 90.00 90.00 90.00
Space group Cmcm (No. 63)
Symmetry-distinct sites (fractional):
Zr 0.000 0.000 0.000
Zr 0.000 0.303 0.250
Zr 0.000 0.413 0.661
Be 0.000 0.014 0.250
Bi 0.000 0.298 0.084

Fermi-level density of states, states/eV/cell: 30.70
ΔE_f, kJ/mol of atoms: -0.74

---

No. 5
Below is a relaxed structure of Zr3BeBi, with properties calculated at the PBE-GGA level.

abc: 4.777 4.777 4.777
angles: 90.00 90.00 90.00
Space group Pm-3m (No. 221)
Symmetry-distinct sites (fractional):
Zr 0.000 0.000 0.500
Be 0.000 0.000 0.000
Bi 0.500 0.500 0.500

Fermi-level density of states, states/eV/cell: 4.12
Excess energy over the best structure of this formula in the dataset, eV/f.u.: 0.02
ΔE_f, kJ/mol of atoms: -1.05

---

No. 6
Below is a relaxed structure of ZrBeBi3, with properties calculated at the PBE-GGA level.

abc: 5.097 5.097 5.097
angles: 90.00 90.00 90.00
Space group Pm-3m (No. 221)
Symmetry-distinct sites (fractional):
Zr 0.000 0.000 0.000
Be 0.500 0.500 0.500
Bi 0.000 0.500 0.500

Fermi-level density of states, states/eV/cell: 5.01
Excess energy over the best structure of this formula in the dataset, eV/f.u.: 0.00
ΔE_f, kJ/mol of atoms: 56.76

---

No. 7
Below is a relaxed structure of Zr3BeBi, with properties calculated at the PBE-GGA level.

abc: 5.371 5.371 5.371
angles: 90.00 90.00 90.00
Space group Pm-3m (No. 221)
Symmetry-distinct sites (fractional):
Zr 0.000 0.000 0.500
Be 0.500 0.500 0.500
Bi 0.000 0.000 0.000

Fermi-level density of states, states/eV/cell: 7.18
Excess energy over the best structure of this formula in the dataset, eV/f.u.: 7.26
ΔE_f, kJ/mol of atoms: 138.58

---

No. 8
Below is a relaxed structure of ZrBeBi3, with properties calculated at the PBE-GGA level.

abc: 5.659 5.659 5.659
angles: 90.00 90.00 90.00
Space group Pm-3m (No. 221)
Symmetry-distinct sites (fractional):
Zr 0.000 0.000 0.000
Be 0.500 0.500 0.500
Bi 0.000 0.000 0.500

Fermi-level density of states, states/eV/cell: 3.86
Excess energy over the best structure of this formula in the dataset, eV/f.u.: 1.21
ΔE_f, kJ/mol of atoms: 80.14

---

No. 9
Below is a relaxed structure of ZrBe3Bi, with properties calculated at the PBE-GGA level.

abc: 4.642 4.642 4.642
angles: 90.00 90.00 90.00
Space group Pm-3m (No. 221)
Symmetry-distinct sites (fractional):
Zr 0.000 0.000 0.000
Be 0.000 0.500 0.500
Bi 0.500 0.500 0.500

Fermi-level density of states, states/eV/cell: 3.33
Excess energy over the best structure of this formula in the dataset, eV/f.u.: 0.09
ΔE_f, kJ/mol of atoms: 135.97

---

No. 10
Below is a relaxed structure of ZrBe3Bi, with properties calculated at the PBE-GGA level.

abc: 4.729 4.729 4.729
angles: 90.00 90.00 90.00
Space group Pm-3m (No. 221)
Symmetry-distinct sites (fractional):
Zr 0.000 0.000 0.000
Be 0.000 0.000 0.500
Bi 0.500 0.500 0.500

Fermi-level density of states, states/eV/cell: 2.80
Excess energy over the best structure of this formula in the dataset, eV/f.u.: 0.00
ΔE_f, kJ/mol of atoms: 134.30

---

No. 11
Below is a relaxed structure of Zr6BeBi2, with properties calculated at the PBE-GGA level.

abc: 7.7795 7.7795 3.8364
angles: 90.00 90.00 120.00
Space group P-62m (No. 189)
Symmetry-distinct sites (fractional):
Zr 0.0000 0.2305 0.0000
Zr 0.0000 0.6124 0.5000
Be 0.0000 0.0000 0.5000
Bi 0.3333 0.6667 0.0000

Fermi-level density of states, states/eV/cell: 4.54
ΔE_f, kJ/mol of atoms: -31.77

---

No. 12
Below is a relaxed structure of Zr2BeBi, with properties calculated at the PBE-GGA level.

abc: 6.936 6.936 6.936
angles: 90.00 90.00 90.00
Space group Fm-3m (No. 225)
Symmetry-distinct sites (fractional):
Zr 0.250 0.250 0.250
Be 0.000 0.000 0.000
Bi 0.000 0.000 0.500

Fermi-level density of states, states/eV/cell: 24.00
Excess energy over the best structure of this formula in the dataset, eV/f.u.: 0.20
ΔE_f, kJ/mol of atoms: 17.10

---

No. 13
Below is a relaxed structure of BeBr, with properties calculated at the PBE-GGA level.

abc: 3.4200 3.4200 3.4677
angles: 90.00 90.00 120.00
Space group P-6m2 (No. 187)
Symmetry-distinct sites (fractional):
Be 0.0000 0.0000 0.0000
Br 0.6667 0.3333 0.5000

Fermi-level density of states, states/eV/cell: 0.33
Energy relative to the elements, uncorrected, eV per atom: 0.569
Excess energy over the best structure of this formula in the dataset, eV/f.u.: 1.95

---

No. 14
Below is a relaxed structure of BeBr5, with properties calculated at the PBE-GGA level.

abc: 5.1441 5.1441 7.9149
angles: 90.00 90.00 120.00
Space group P-62m (No. 189)
Symmetry-distinct sites (fractional):
Be 0.0000 0.0000 0.0000
Br 0.0000 0.6793 0.5000
Br 0.3333 0.6667 0.0000

Fermi-level density of states, states/eV/cell: 4.74
Energy relative to the elements, uncorrected, eV per atom: 0.567
Excess energy over the best structure of this formula in the dataset, eV/f.u.: 4.53

---

No. 15
Below is a relaxed structure of BeBr, with properties calculated at the PBE-GGA level.

abc: 10.382 10.382 3.287
angles: 90.00 90.00 90.00
Space group I4/m (No. 87)
Symmetry-distinct sites (fractional):
Be 0.174 0.300 0.000
Br 0.014 0.271 0.500

Fermi-level density of states, states/eV/cell: 0.37
Energy relative to the elements, uncorrected, eV per atom: -0.091
Excess energy over the best structure of this formula in the dataset, eV/f.u.: 0.63

---

No. 16
Below is a relaxed structure of BeBr, with properties calculated at the PBE-GGA level.

abc: 3.7331 3.7331 21.0281
angles: 90.00 90.00 120.00
Space group R-3m (No. 166, hexagonal axes)
Symmetry-distinct sites (fractional):
Be 0.0000 0.0000 0.1667
Br 0.0000 0.0000 0.4103

Fermi-level density of states, states/eV/cell: 9.36
Energy relative to the elements, uncorrected, eV per atom: 0.603
Excess energy over the best structure of this formula in the dataset, eV/f.u.: 2.02

---

No. 17
Below is a relaxed structure of BeBr2, with properties calculated at the PBE-GGA level.

abc: 3.247 3.247 30.371
angles: 90.00 90.00 90.00
Space group I4_1/amd (No. 141, origin choice 2)
Symmetry-distinct sites (fractional):
Be 0.000 0.250 0.375
Br 0.000 0.250 0.824

Fermi-level density of states, states/eV/cell: 2.91
Energy relative to the elements, uncorrected, eV per atom: 0.087
Excess energy over the best structure of this formula in the dataset, eV/f.u.: 3.33

---

No. 18
Below is a relaxed structure of Be2Br, with properties calculated at the PBE-GGA level.

abc: 6.383 3.799 8.951
angles: 90.00 97.90 90.00
Space group C2/m (No. 12)
Symmetry-distinct sites (fractional):
Be 0.020 0.000 0.105
Be 0.166 0.500 0.973
Br 0.226 0.500 0.714

Fermi-level density of states, states/eV/cell: 0.26
Energy relative to the elements, uncorrected, eV per atom: -0.122
Excess energy over the best structure of this formula in the dataset, eV/f.u.: 0.00

---

No. 19
Below is a relaxed structure of Be3Br4, with properties calculated at the PBE-GGA level.

abc: 4.5402 4.5402 10.8572
angles: 90.00 90.00 120.00
Space group P6/mmm (No. 191)
Symmetry-distinct sites (fractional):
Be 0.0000 0.5000 0.0000
Br 0.0000 0.0000 0.1543
Br 0.3333 0.6667 0.5000

Fermi-level density of states, states/eV/cell: 3.83
Energy relative to the elements, uncorrected, eV per atom: 0.258

---

No. 20
Below is a relaxed structure of BeBr, with properties calculated at the PBE-GGA level.

abc: 13.338 3.418 7.619
angles: 90.00 117.59 90.00
Space group Cm (No. 8)
Symmetry-distinct sites (fractional):
Be 0.000 0.000 0.000
Be 0.093 0.500 0.156
Be 0.353 0.000 0.197
Br 0.032 0.500 0.393
Br 0.284 0.500 0.337
Br 0.321 0.500 0.946

Fermi-level density of states, states/eV/cell: 4.03
Energy relative to the elements, uncorrected, eV per atom: -0.125
Excess energy over the best structure of this formula in the dataset, eV/f.u.: 0.56

---

Number 1: electronic total energy -96.77 eV per cell, mass density 7.76 g/cm³, total magnetization 0.00 μB per atom. Number 2: electronic total energy -133.30 eV per cell, mass density 7.49 g/cm³, total magnetization 0.00 μB per atom. Number 3: electronic total energy -221.18 eV per cell, mass density 7.02 g/cm³, total magnetization 0.00 μB per atom. Number 4: electronic total energy -182.94 eV per cell, mass density 8.00 g/cm³, total magnetization 0.00 μB per atom. Number 5: electronic total energy -33.31 eV per cell, mass density 7.49 g/cm³, total magnetization 0.00 μB per atom. Number 6: electronic total energy -20.98 eV per cell, mass density 9.12 g/cm³, total magnetization 0.00 μB per atom. Number 7: electronic total energy -26.07 eV per cell, mass density 5.27 g/cm³, total magnetization 0.00 μB per atom. Number 8: electronic total energy -19.76 eV per cell, mass density 6.66 g/cm³, total magnetization 0.00 μB per atom. Number 9: electronic total energy -16.56 eV per cell, mass density 5.43 g/cm³, total magnetization 0.00 μB per atom. Number 10: electronic total energy -16.65 eV per cell, mass density 5.14 g/cm³, total magnetization 0.00 μB per atom. Number 11: electronic total energy -65.74 eV per cell, mass density 8.05 g/cm³, total magnetization 0.00 μB per atom. Number 12: electronic total energy -95.98 eV per cell, mass density 7.97 g/cm³, total magnetization 0.00 μB per atom. Number 13: electronic total energy -4.26 eV per cell, mass density 4.20 g/cm³, total magnetization 0.00 μB per atom. Number 14: electronic total energy -8.69 eV per cell, mass density 3.74 g/cm³, total magnetization 0.00 μB per atom. Number 15: electronic total energy -44.65 eV per cell, mass density 3.33 g/cm³, total magnetization 0.00 μB per atom. Number 16: electronic total energy -25.16 eV per cell, mass density 3.49 g/cm³, total magnetization 0.00 μB per atom. Number 17: electronic total energy -27.25 eV per cell, mass density 3.50 g/cm³, total magnetization 0.00 μB per atom. Number 18: electronic total energy -37.96 eV per cell, mass density 3.03 g/cm³, total magnetization 0.00 μB per atom. Number 19: electronic total energy -16.06 eV per cell, mass density 2.97 g/cm³, total magnetization 0.00 μB per atom. Number 20: electronic total energy -33.90 eV per cell, mass density 2.88 g/cm³, total magnetization 0.00 μB per atom.